1.
# ThScTiAl

A relaxed structure of ThScTiAl (GGA-PBE, Alexandria via LeMat-Bulk).

Lattice parameters (Å, degrees): 5.0119 5.0119 5.0119 60.00 60.00 60.00
With the nearest neighbours (Å) after each atom.
Fractional positions:
Sc 0.5000 0.5000 0.5000  4 Al 3.07, 4 Ti 3.07
Al 0.7500 0.7500 0.7500  4 Th 3.07, 4 Sc 3.07
Th 0.0000 0.0000 0.0000  4 Ti 3.07, 4 Al 3.07
Ti 0.2500 0.2500 0.2500  4 Th 3.07, 4 Sc 3.07

Properties
- calculated formation energy (eV/atom) = -0.043
- space-group type = F-43m

---

2.
# Sr2LiGa3Sn4

A relaxed structure of Sr2LiGa3Sn4 (GGA-PBE, Alexandria via LeMat-Bulk).

Lattice parameters (Å, degrees): 4.8988 4.8988 11.0974 90.00 90.00 90.00
With the nearest neighbours (Å) after each atom.
Fractional positions:
Sr 0.5000 0.0000 0.2577  2 Li 3.64, 6 Ga 3.64-3.74, 8 Sn 3.69-3.77
Sr 0.0000 0.5000 0.7423  6 Ga 3.64-3.74, 2 Li 3.64, 8 Sn 3.69-3.77
Li 0.5000 0.5000 0.5000  4 Sn 2.83
Ga 0.0000 0.0000 0.5000  4 Sn 2.83
Ga 0.5000 0.0000 0.8688  5 Sn 2.68-2.85
Ga 0.0000 0.5000 0.1312  5 Sn 2.68-2.85
Sn 0.5000 0.5000 0.0000  4 Ga 2.85
Sn 0.0000 0.0000 0.0000  4 Ga 2.85
Sn 0.5000 0.0000 0.6273  3 Ga 2.68-2.83, 2 Li 2.83
Sn 0.0000 0.5000 0.3727  3 Ga 2.68-2.83, 2 Li 2.83

Properties
- calculated formation energy (eV/atom) = -0.359
- space-group type = P-4m2

---

> Number 2 is which compound?

Sr2LiGa3Sn4